This record from the Alexandria database describes crystalline RePd at its relaxed geometry. The functional is PBE.

Summary:
Its uncorrected energy is -8.72 eV/atom. The value obtained for the energy relative to the elements is 101 meV/atom. The density of states at the Fermi level comes out at 0.805 states/eV/atom.

Unit cell a=9.5989 b=4.4186 c=5.6358 alpha=90.00 beta=90.00 gamma=90.00
Last column: nearest neighbours and their distance in Å.
Space group Pnma (No. 62)
Symmetry-distinct sites (fractional):
1 Re 0.0878 0.2500 0.0035 [4 per cell]  6 Re 2.67-2.86, 6 Pd 2.72-2.83
2 Re 0.1574 0.7500 0.2416 [4 per cell]  4 Re 2.67-2.86, 8 Pd 2.73-2.84
3 Pd 0.0857 0.2500 0.5062 [4 per cell]  6 Pd 2.70-2.81, 6 Re 2.73-2.83
4 Pd 0.1671 0.7500 0.7452 [4 per cell]  4 Pd 2.70-2.81, 8 Re 2.72-2.84



This record from the Alexandria database describes crystalline Tl2SnPbBr6 at its relaxed geometry. The functional is PBE.

Summary:
Its uncorrected energy is -3.11 eV/atom. The density of states at the Fermi level comes out at 0.000 states/eV/atom. As for the formation energy from raw total energies: -82.7 kJ per mole of atoms.

Unit cell a=7.7531 b=8.3828 c=13.7587 alpha=90.00 beta=124.14 gamma=90.00
Last column: nearest neighbours and their distance in Å.
Space group P2_1/c (No. 14)
Symmetry-distinct sites (fractional):
1 Tl 0.2162 0.0834 0.2489 [4 per cell]  6 Br 3.33-3.62
2 Sn 0.0000 0.0000 0.5000 [2 per cell]  6 Br 2.99
3 Pb 0.5000 0.0000 0.0000 [2 per cell]  6 Br 3.05
4 Br 0.1203 0.1950 0.9397 [4 per cell]  1 Sn 2.99, 1 Pb 3.05
5 Br 0.2539 0.6902 0.9399 [4 per cell]  1 Sn 2.99, 1 Pb 3.05
6 Br 0.3709 0.0376 0.7472 [4 per cell]  1 Sn 2.99, 1 Pb 3.05, 1 Tl 3.33



This record from the Alexandria database describes crystalline NiAuBr2 at its relaxed geometry. The functional is PBE.

Summary:
Its uncorrected energy is -2.89 eV/atom. The density of states at the Fermi level comes out at 0.812 states/eV/atom. As for the formation energy from raw total energies: 20.4 kJ per mole of atoms.

Unit cell a=3.4789 b=3.6818 c=15.4199 alpha=90.00 beta=90.00 gamma=90.00
Last column: nearest neighbours and their distance in Å.
Space group Imm2 (No. 44)
Symmetry-distinct sites (fractional):
1 Ni 0.0000 0.0000 0.0000 [2 per cell]  4 Br 2.63, 2 Au 2.63
2 Au 0.0000 0.5000 0.6277 [2 per cell]  2 Ni 2.63, 4 Br 2.84
3 Br 0.0000 0.0000 0.4552 [2 per cell]  4 Ni 2.63
4 Br 0.0000 0.5000 0.2109 [2 per cell]  4 Au 2.84



This record from the Alexandria database describes crystalline Nd2YSn2 at its relaxed geometry. The functional is PBE.

Summary:
Its uncorrected energy is -5.53 eV/atom. The value obtained for the energy relative to the elements is -730 meV/atom. The density of states at the Fermi level comes out at 0.935 states/eV/atom.

Unit cell a=8.1678 b=8.1678 c=4.5622 alpha=90.00 beta=90.00 gamma=90.00
Last column: nearest neighbours and their distance in Å.
Space group P4/mbm (No. 127)
Symmetry-distinct sites (fractional):
1 Nd 0.1712 0.3288 0.0000 [4 per cell]  6 Sn 3.23-3.38
2 Y 0.0000 0.0000 0.5000 [2 per cell]  4 Sn 3.20
3 Sn 0.1306 0.6306 0.5000 [4 per cell]  1 Sn 3.02, 2 Y 3.20, 6 Nd 3.23-3.38



This record from the Alexandria database describes crystalline Co5Te12Ru at its relaxed geometry. The functional is PBE.

Summary:
Its uncorrected energy is -4.75 eV/atom. The density of states at the Fermi level comes out at 0.742 states/eV/atom. As for the formation energy from raw total energies: -15.9 kJ per mole of atoms.

Unit cell a=6.5021 b=11.2768 c=11.9658 alpha=90.00 beta=100.61 gamma=90.00
Last column: nearest neighbours and their distance in Å.
Space group C2/m (No. 12)
Symmetry-distinct sites (fractional):
1 Co 0.0000 0.0000 0.0000 [2 per cell]  6 Te 2.55-2.56
2 Co 0.0000 0.1670 0.5000 [4 per cell]  6 Te 2.56
3 Co 0.0000 0.3319 0.0000 [4 per cell]  6 Te 2.55-2.56
4 Te 0.1147 0.0000 0.3805 [4 per cell]  2 Co 2.56, 1 Ru 2.65
5 Te 0.1315 0.3279 0.3802 [8 per cell]  2 Co 2.56, 1 Ru 2.65
6 Te 0.2043 0.5000 0.1139 [4 per cell]  3 Co 2.55-2.56
7 Te 0.2059 0.1663 0.1153 [8 per cell]  3 Co 2.55-2.56
8 Ru 0.0000 0.5000 0.5000 [2 per cell]  6 Te 2.65



This record from the Alexandria database describes crystalline PuAuBr2 at its relaxed geometry. The functional is PBE.

Summary:
Its uncorrected energy is -5.34 eV/atom. The density of states at the Fermi level comes out at 2.587 states/eV/atom. As for the formation energy from raw total energies: -9.9 kJ per mole of atoms.

Unit cell a=3.8955 b=3.8955 c=27.7954 alpha=90.00 beta=90.00 gamma=120.00
Last column: nearest neighbours and their distance in Å.
Space group R-3m (No. 166, hexagonal axes)
Symmetry-distinct sites (fractional):
1 Pu 0.0000 0.0000 0.0000 [3 per cell]  2 Br 2.85
2 Au 0.0000 0.0000 0.5000 [3 per cell]  6 Br 2.87
3 Br 0.0000 0.0000 0.1025 [6 per cell]  1 Pu 2.85, 3 Au 2.87



This record from the Alexandria database describes crystalline La2AlRh at its relaxed geometry. The functional is PBE.

Summary:
Its uncorrected energy is -5.79 eV/atom. The value obtained for the energy relative to the elements is -549 meV/atom. The density of states at the Fermi level comes out at 0.451 states/eV/atom.

Unit cell a=4.5561 b=4.5561 c=16.9238 alpha=90.00 beta=90.00 gamma=120.00
Last column: nearest neighbours and their distance in Å.
Space group R3m (No. 160, hexagonal axes)
Symmetry-distinct sites (fractional):
1 La 0.0000 0.0000 0.0000 [3 per cell]  3 Rh 3.05, 3 Al 3.15, 1 La 3.41
2 La 0.0000 0.0000 0.2015 [3 per cell]  3 Al 3.12, 3 Rh 3.23, 4 La 3.41-3.45
3 Al 0.0000 0.0000 0.7695 [3 per cell]  3 Rh 2.64
4 Rh 0.0000 0.0000 0.4245 [3 per cell]  3 Al 2.64



This record from the Alexandria database describes crystalline CdPd3O at its relaxed geometry. The functional is PBE.

Summary:
Its uncorrected energy is -4.44 eV/atom. The density of states at the Fermi level comes out at 0.307 states/eV/atom. As for the formation energy from raw total energies: -14.3 kJ per mole of atoms.

Unit cell a=4.2646 b=4.2646 c=4.2646 alpha=90.00 beta=90.00 gamma=90.00
Last column: nearest neighbours and their distance in Å.
Space group Pm-3m (No. 221)
Symmetry-distinct sites (fractional):
1 Cd 0.0000 0.0000 0.0000 [1 per cell]  12 Pd 3.02
2 Pd 0.0000 0.5000 0.5000 [3 per cell]  2 O 2.13
3 O 0.5000 0.5000 0.5000 [1 per cell]  6 Pd 2.13



This record from the Alexandria database describes crystalline TaNiW2 at its relaxed geometry. The functional is PBE.

Summary:
Its uncorrected energy is -10.79 eV/atom. The value obtained for the energy relative to the elements is 95 meV/atom. The density of states at the Fermi level comes out at 1.172 states/eV/atom.

Unit cell a=6.2880 b=6.2880 c=6.2880 alpha=90.00 beta=90.00 gamma=90.00
Last column: nearest neighbours and their distance in Å.
Space group F-43m (No. 216)
Symmetry-distinct sites (fractional):
1 Ta 0.0000 0.0000 0.0000 [4 per cell]  4 W 2.72, 4 Ni 2.72
2 Ni 0.2500 0.2500 0.2500 [4 per cell]  4 Ta 2.72, 4 W 2.72
3 W 0.0000 0.0000 0.5000 [4 per cell]  4 W 2.72, 4 Ni 2.72
4 W 0.2500 0.2500 0.7500 [4 per cell]  4 Ta 2.72, 4 W 2.72



This record from the Alexandria database describes crystalline TlGaBr2F at its relaxed geometry. The functional is PBE.

Summary:
Its uncorrected energy is -3.26 eV/atom. The density of states at the Fermi level comes out at 0.238 states/eV/atom. As for the formation energy from raw total energies: -109.4 kJ per mole of atoms.

Unit cell a=5.5704 b=5.5704 c=4.1860 alpha=90.00 beta=90.00 gamma=90.00
Last column: nearest neighbours and their distance in Å.
Space group P4/mmm (No. 123)
Symmetry-distinct sites (fractional):
1 Tl 0.0000 0.0000 0.0000 [1 per cell]  8 Br 3.48
2 Ga 0.5000 0.5000 0.5000 [1 per cell]  2 F 2.09
3 Br 0.0000 0.5000 0.5000 [2 per cell]  2 Ga 2.79
4 F 0.5000 0.5000 0.0000 [1 per cell]  2 Ga 2.09



This record from the Alexandria database describes crystalline PrNdDyMg at its relaxed geometry. The functional is PBE.

Summary:
Its uncorrected energy is -3.97 eV/atom. The value obtained for the energy relative to the elements is -34 meV/atom. The density of states at the Fermi level comes out at 1.092 states/eV/atom.

Unit cell a=3.7013 b=3.7013 c=9.2405 alpha=90.00 beta=90.00 gamma=90.00
Last column: nearest neighbours and their distance in Å.
Space group P4mm (No. 99)
Symmetry-distinct sites (fractional):
1 Pr 0.0000 0.0000 0.0000 [1 per cell]  4 Mg 3.41, 4 Nd 3.68, 4 Pr 3.70
2 Nd 0.5000 0.5000 0.2793 [1 per cell]  4 Dy 3.58, 4 Pr 3.68, 4 Nd 3.70
3 Dy 0.0000 0.0000 0.5441 [1 per cell]  4 Mg 3.31, 4 Nd 3.58, 4 Dy 3.70
4 Mg 0.5000 0.5000 0.7627 [1 per cell]  4 Dy 3.31, 4 Pr 3.41, 4 Mg 3.70



This record from the Alexandria database describes crystalline ZrMn3P at its relaxed geometry. The functional is PBE.

Summary:
Its uncorrected energy is -8.31 eV/atom. The value obtained for the energy relative to the elements is -16 meV/atom. The density of states at the Fermi level comes out at 0.643 states/eV/atom.

Unit cell a=4.2006 b=4.2006 c=4.2006 alpha=90.00 beta=90.00 gamma=90.00
Last column: nearest neighbours and their distance in Å.
Space group Pm-3m (No. 221)
Symmetry-distinct sites (fractional):
1 Zr 0.0000 0.0000 0.0000 [1 per cell]  12 Mn 2.97
2 Mn 0.0000 0.5000 0.5000 [3 per cell]  2 P 2.10
3 P 0.5000 0.5000 0.5000 [1 per cell]  6 Mn 2.10